Computed, not measured: a relaxed Mn3Co2As3Rh crystal at the PBE level of DFT.

Results
formation enthalpy at 0 K: -286 meV per atom
total magnetization: 9.49 Bohr magnetons per cell

Cell lengths 3.617, 6.207, 6.207 Å; angles 118.71, 90.00, 90.00 degrees
Positions (direct):
1 Mn 0.000 0.000 0.000
2 Mn 0.000 0.406 0.817
3 Mn 0.000 0.817 0.406
4 Co 0.500 0.146 0.404
5 Co 0.500 0.404 0.146
6 As 0.000 0.387 0.387
7 As 0.500 0.086 0.744
8 As 0.500 0.744 0.086
9 Rh 0.500 0.661 0.661

---

Computed, not measured: a relaxed MnCoAsRu crystal at the PBE level of DFT.

Results
formation enthalpy at 0 K: -86 meV per atom
total magnetization: 4.96 Bohr magnetons per cell

Cell lengths 4.197, 4.197, 4.197 Å; angles 60.00, 60.00, 60.00 degrees
Positions (direct):
1 Mn 0.000 0.000 0.000
2 Co 0.750 0.750 0.750
3 As 0.500 0.500 0.500
4 Ru 0.250 0.250 0.250